Entry 1:
Compound: ScSb2Rh
Source: the Alexandria database
Functional: GGA-PBEsol
Structure: optimized geometry

Computed properties:
energy relative to the elements, uncorrected: -0.447 eV per atom
space-group type: P2/m, No. 10
raw total energy: -6.411 eV per atom

Unit cell a=3.170 b=4.217 c=6.097 alpha=90.00 beta=92.35 gamma=90.00
Fractional positions:
Sc 0.000 0.000 0.000
Sb 0.445 0.500 0.749
Sb 0.555 0.500 0.251
Rh 0.500 0.000 0.500

=====

Entry 2:
Compound: CdInRu
Source: the Alexandria database
Functional: GGA-PBEsol
Structure: optimized geometry

Computed properties:
energy of formation: 0.21 eV/atom
space-group type: I4mm, No. 107
raw total energy: -4.571 eV per atom

Unit cell a=5.444 b=5.444 c=5.444 alpha=144.88 beta=144.88 gamma=50.51
Fractional positions:
Cd 0.000 0.000 0.000
In 0.304 0.304 0.000
Ru 0.662 0.662 0.000

=====

Entry 3:
Compound: LaMg16Al12
Source: the Alexandria database
Functional: GGA-PBEsol
Structure: optimized geometry

Computed properties:
energy of formation: -0.07 eV/atom
space-group type: I-43m, No. 217
raw total energy: -2.893 eV per atom

Unit cell a=9.112 b=9.112 c=9.112 alpha=109.47 beta=109.47 gamma=109.47
Fractional positions:
La 0.000 0.000 0.000
Mg 0.000 0.000 0.636
Mg 0.000 0.398 0.680
Mg 0.000 0.636 0.000
Mg 0.000 0.680 0.398
Mg 0.282 0.602 0.602
Mg 0.320 0.320 0.718
Mg 0.320 0.718 0.320
Mg 0.364 0.364 0.364
Mg 0.398 0.000 0.680
Mg 0.398 0.680 0.000
Mg 0.602 0.282 0.602
Mg 0.602 0.602 0.282
Mg 0.636 0.000 0.000
Mg 0.680 0.000 0.398
Mg 0.680 0.398 0.000
Mg 0.718 0.320 0.320
Al 0.000 0.188 0.370
Al 0.000 0.370 0.188
Al 0.183 0.812 0.812
Al 0.188 0.000 0.370
Al 0.188 0.370 0.000
Al 0.370 0.000 0.188
Al 0.370 0.188 0.000
Al 0.630 0.630 0.817
Al 0.630 0.817 0.630
Al 0.812 0.183 0.812
Al 0.812 0.812 0.183
Al 0.817 0.630 0.630

=====

Entry 4:
Compound: TlOs3N
Source: the Alexandria database
Functional: GGA-PBEsol
Structure: optimized geometry

Computed properties:
energy relative to the elements, uncorrected: 0.911 eV per atom
energy above the lowest structure with this stoichiometry: 0.0 kJ/mol of atoms
space-group type: Pm-3m, No. 221
raw total energy: -8.650 eV per atom

Unit cell a=4.112 b=4.112 c=4.112 alpha=90.00 beta=90.00 gamma=90.00
Fractional positions:
Tl 0.000 0.000 0.000
Os 0.000 0.500 0.500
Os 0.500 0.000 0.500
Os 0.500 0.500 0.000
N 0.500 0.500 0.500